No. 1
# PBE-GGA Cs2MgH2Br2, relaxed
data_Cs2MgH2Br2
_chemical_formula_sum 'Cs2 Mg1 H2 Br2'
_symmetry_space_group_name_H-M 'P 1'
_symmetry_Int_Tables_number 1
_cell_length_a 9.302
_cell_length_b 9.302
_cell_length_c 9.302
_cell_angle_alpha 149.73
_cell_angle_beta 149.73
_cell_angle_gamma 43.34
loop_
_symmetry_equiv_pos_as_xyz
'x,y,z'
loop_
_atom_site_label
_atom_site_fract_x
_atom_site_fract_y
_atom_site_fract_z
_atom_site_occupancy
Cs1 0.124 0.124 0.000 1
Cs2 0.876 0.876 0.000 1
Mg1 0.500 0.500 0.000 1
H1 0.000 0.500 0.500 1
H2 0.500 0.000 0.500 1
Br1 0.347 0.347 0.000 1
Br2 0.653 0.653 0.000 1
# **DFT total energy**: -19.67 eV for the cell shown
# **Symmetry**: I4/mmm (139)
# **M_tot**: 0.0000 μB/atom

---

No. 2
# PBE-GGA Sr2Al4ZnAg3, relaxed
data_Sr2Al4ZnAg3
_chemical_formula_sum 'Sr2 Al4 Zn1 Ag3'
_symmetry_space_group_name_H-M 'P 1'
_symmetry_Int_Tables_number 1
_cell_length_a 4.453
_cell_length_b 4.453
_cell_length_c 11.119
_cell_angle_alpha 90.00
_cell_angle_beta 90.00
_cell_angle_gamma 90.00
loop_
_symmetry_equiv_pos_as_xyz
'x,y,z'
loop_
_atom_site_label
_atom_site_fract_x
_atom_site_fract_y
_atom_site_fract_z
_atom_site_occupancy
Sr1 0.000 0.500 0.248 1
Sr2 0.500 0.000 0.752 1
Al1 0.000 0.000 0.500 1
Al2 0.000 0.500 0.872 1
Al3 0.500 0.000 0.128 1
Al4 0.500 0.500 0.500 1
Zn1 0.500 0.500 0.000 1
Ag1 0.000 0.000 0.000 1
Ag2 0.000 0.500 0.633 1
Ag3 0.500 0.000 0.367 1
# **E_form**: -0.249 eV per atom
# **Symmetry**: P-4m2 (115)
# **M_tot**: 0.0000 μB/atom

---

No. 3
# PBE-GGA NpMnTl2S4, relaxed
data_NpMnTl2S4
_chemical_formula_sum 'Np2 Mn2 Tl4 S8'
_symmetry_space_group_name_H-M 'P 1'
_symmetry_Int_Tables_number 1
_cell_length_a 8.202
_cell_length_b 8.202
_cell_length_c 8.141
_cell_angle_alpha 119.64
_cell_angle_beta 119.64
_cell_angle_gamma 60.67
loop_
_symmetry_equiv_pos_as_xyz
'x,y,z'
loop_
_atom_site_label
_atom_site_fract_x
_atom_site_fract_y
_atom_site_fract_z
_atom_site_occupancy
Np1 0.000 0.500 0.000 1
Np2 0.500 0.000 0.000 1
Mn1 0.000 0.000 0.000 1
Mn2 0.000 0.000 0.500 1
Tl1 0.000 0.500 0.500 1
Tl2 0.500 0.000 0.500 1
Tl3 0.500 0.500 0.000 1
Tl4 0.500 0.500 0.500 1
S1 0.185 0.780 0.228 1
S2 0.220 0.815 0.772 1
S3 0.231 0.231 0.766 1
S4 0.232 0.232 0.197 1
S5 0.768 0.768 0.803 1
S6 0.769 0.769 0.234 1
S7 0.780 0.185 0.228 1
S8 0.815 0.220 0.772 1
# **Symmetry**: C2/m (12)
# **M_tot**: 0.3822 μB/atom
# **Formation energy (no corrections)**: -692 meV/atom